Entry from Alexandria via LeMat-Bulk: an optimized crystal structure of Y3Ni2 (PBE).

Results
- space-group type = R-3m (166)
- relative energy among the computed polymorphs (eV/atom) = 0.182
- energy of formation (eV/f.u.) = -0.88

The structure in extended XYZ format:
```
5
Lattice="9.4960 -1.9650 0.0003 9.4960 1.9650 0.0003 9.0893 0.0000 3.3794" Properties=species:S:1:pos:R:3 pbc="T T T"
Y 0.0000 0.0000 0.0000
Y 21.8064 0.0000 2.6247
Y 6.2749 0.0000 0.7553
Ni 17.0902 0.0000 2.0570
Ni 10.9911 0.0000 1.3229
```

=====

Entry from Alexandria via LeMat-Bulk: an optimized crystal structure of Nd5Bi2H (PBE).

Results
- space-group type = I4mm (107)
- E (eV/atom) = -4.800

The structure in extended XYZ format:
```
8
Lattice="7.2336 0.0020 -0.0006 0.0022 7.2336 -0.0007 -3.6179 -3.6179 4.5744" Properties=species:S:1:pos:R:3 pbc="T T T"
Nd 5.4396 1.7960 0.0094
Nd 1.7950 1.7949 0.0087
Nd 5.4410 5.4409 0.0088
Nd 1.7961 5.4396 0.0093
Nd 3.6175 3.6174 2.3233
Bi 0.0009 3.6170 2.2946
Bi 3.6170 0.0008 2.2946
H 0.0001 0.0001 0.1550
```

=====

Entry from Alexandria via LeMat-Bulk: an optimized crystal structure of CrAgRu2 (PBE).

Results
- space-group type = C2/m (12)
- relative energy among the computed polymorphs (eV/atom) = 0.165
- energy of formation (eV/f.u.) = 1.56

The structure in extended XYZ format:
```
4
Lattice="-0.9697 -3.5801 -2.9505 -0.3796 -4.6940 -0.5336 -4.6510 -0.7695 0.7809" Properties=species:S:1:pos:R:3 pbc="T T T"
Ag -1.5001 -2.2609 -0.6758
Cr -4.5002 -6.7826 -2.0274
Ru -4.5383 -0.9129 0.6873
Ru -3.1128 -4.3783 -1.2580
```

=====

Entry from Alexandria via LeMat-Bulk: an optimized crystal structure of V3SbSe (PBE).

Results
- space-group type = Pm-3m (221)
- relative energy among the computed polymorphs (eV/atom) = 0.000
- formation energy without anion corrections (eV per atom) = 0.478

The structure in extended XYZ format:
```
5
Lattice="4.5139 0.0000 0.0000 0.0000 4.5139 0.0000 0.0000 0.0000 4.5139" Properties=species:S:1:pos:R:3 pbc="T T T"
Sb 2.2569 2.2569 2.2569
Se 0.0000 0.0000 0.0000
V 0.0000 2.2569 0.0000
V 0.0000 0.0000 2.2569
V 2.2569 0.0000 0.0000
```

=====

Number 1: V 126 Å³/cell. Number 2: V 239 Å³/cell. Number 3: V 58 Å³/cell. Number 4: V 92 Å³/cell.